Density functional theory data (PBE) for crystalline Er2InN at its relaxed geometry.

Unit cell a=3.0896 b=3.0896 c=7.8523 alpha=90.00 beta=90.00 gamma=90.00
Last column: nearest neighbours and their distance in Å.
Space group P4/mmm (No. 123)
Unique sites:
Er 0.0000 0.0000 0.1814 [2 per cell]  4 N 2.61, 1 Er 2.85
In 0.5000 0.5000 0.5000 [1 per cell]  4 In 3.09, 8 Er 3.32
N 0.5000 0.5000 0.0000 [1 per cell]  8 Er 2.61

Values from the calculation:
ΔE_f (raw) = -0.5203 eV/atom

***

Density functional theory data (PBE) for crystalline Er6In2N at its relaxed geometry.

Unit cell a=3.4897 b=14.8479 c=9.0372 alpha=90.00 beta=90.00 gamma=90.00
Last column: nearest neighbours and their distance in Å.
Space group Amm2 (No. 38)
Unique sites:
Er 0.0000 0.0000 0.0000 [2 per cell]  2 In 3.39, 10 Er 3.49-3.69
Er 0.0000 0.1063 0.6312 [4 per cell]  2 N 2.39
Er 0.5000 0.0000 0.3373 [2 per cell]  1 N 2.23
Er 0.5000 0.2031 0.9581 [4 per cell]  4 In 3.18-3.19, 4 Er 3.49-3.50
In 0.0000 0.1709 0.2489 [4 per cell]  8 Er 3.18-3.47, 2 In 3.49
N 0.5000 0.0000 0.5843 [2 per cell]  5 Er 2.23-2.39

Values from the calculation:
ΔE_f (raw) = -0.4618 eV/atom
energy above the most stable polymorph in this dataset = 0.1768 eV per atom

***

It is found that the VASP energy values, taken in the order of the records, are -22.3, -90.7 eV for the cell shown.
It is found that the ρ values, taken in the order of the records, are 10.26, 8.85 g/cm3.
It is found that the calculated volume values, taken in the order of the records, are 18.7, 26.0 Å³/atom.